# PBE+U CoSn2O, relaxed
# **Total DFT energy (no corrections)**: -4.5324 eV per atom
# **Total magnetization**: 6.7 Bohr magnetons per cell
data_CoSn2O
_chemical_formula_sum 'Co4 Sn8 O4'
_cell_length_a 5.4037
_cell_length_b 5.4037
_cell_length_c 11.8374
_cell_angle_alpha 90.00
_cell_angle_beta 90.00
_cell_angle_gamma 90.00
_symmetry_space_group_name_H-M 'I -4 2 d'
_symmetry_Int_Tables_number 122
_symmetry_space_group_name_Hall 'I -4 2bw'
loop_
_atom_site_label
_atom_site_fract_x
_atom_site_fract_y
_atom_site_fract_z
Co1 0.0000 0.0000 0.0000
Sn1 0.1962 0.2500 0.6250
O1 0.0000 0.0000 0.5000